Material: Cs2RbAg2Br7
Method: DFT, PBE-GGA
State: relaxed

Summary:
* space-group type: I4/mmm (139)
* total energy: -32.54 eV per cell
* E_form (uncorrected): -1038 meV per atom
* V: 430.8 Å³/cell

Cell: 5.501 5.501 14.762 Å, 79.25 79.25 90.00°
Positions (direct):
Br 0.309 0.309 0.381
Br 0.691 0.691 0.619
Br 0.411 0.911 0.179
Br 0.500 0.500 0.000
Br 0.089 0.589 0.821
Br 0.589 0.089 0.821
Br 0.911 0.411 0.179
Ag 0.405 0.405 0.190
Ag 0.595 0.595 0.810
Cs 0.821 0.821 0.358
Cs 0.179 0.179 0.642
Rb 0.000 0.000 0.000